A relaxed structure of Sc3InO. Source: Alexandria via LeMat-Bulk, functional PBE-GGA.

The calculation puts the formation energy without anion corrections at -1.412 eV per atom.

The space group is Imma (No. 74) and the conventional cell measures 4.404, 4.436 and 18.651 Å, with angles of 90.00, 90.00 and 90.00 degrees. The asymmetric unit holds Sc at (0.000, 0.250, 0.055), Sc at (0.000, 0.250, 0.570), Sc at (0.000, 0.250, 0.812), In at (0.000, 0.250, 0.316) and O at (0.000, 0.250, 0.934).



A relaxed structure of PmHo6Tm2. Source: Alexandria via LeMat-Bulk, functional PBE-GGA.

For the calculated formation energy, the calculation gives 245.3 meV per atom.

The space group is C2/m (No. 12) and the conventional cell measures 12.757, 7.367 and 6.013 Å, with angles of 90.00, 90.01 and 90.00 degrees. The asymmetric unit holds Pm at (0.000, 0.000, 0.000), Ho at (0.094, 0.282, 0.297), Ho at (0.188, 0.000, 0.705) and Tm at (0.166, 0.500, 0.788).



A relaxed structure of CaV2C2. Source: Alexandria via LeMat-Bulk, functional PBE-GGA.

For the calculated formation energy, the calculation gives 492.8 meV per atom.

The space group is P4/mbm (No. 127) and the conventional cell measures 6.278, 6.278 and 2.892 Å, with angles of 90.00, 90.00 and 90.00 degrees. The asymmetric unit holds Ca at (0.000, 0.000, 0.000), V at (0.134, 0.366, 0.500) and C at (0.132, 0.632, 0.000).



A relaxed structure of NbRe2Os2. Source: Alexandria via LeMat-Bulk, functional PBE-GGA.

For the calculated formation energy, the calculation gives 44.2 meV per atom.

The space group is P4/mbm (No. 127) and the conventional cell measures 7.583, 7.583 and 2.773 Å, with angles of 90.00, 90.00 and 90.00 degrees. The asymmetric unit holds Nb at (0.000, 0.000, 0.000), Re at (0.170, 0.330, 0.500) and Os at (0.125, 0.625, 0.000).



| no. | mass density (Mg/m³) |
| --- | --- |
| 1 | 4.8 |
| 2 | 8.7 |
| 3 | 4.8 |
| 4 | 17.6 |